## LiHo2Pd6 (PBE)

Data for a relaxed structure of LiHo2Pd6.

Structure (POSCAR):
```
LiHo2Pd6
1.0
-2.986 -1.187 -0.017
2.767 -6.935 -1.968
0.718 2.450 7.523
Pd Ho Li
6 2 1
direct
0.167 0.365 0.334
0.833 0.635 0.666
0.833 0.030 0.666
0.167 0.970 0.334
0.500 0.748 0.000
0.500 0.252 0.000
0.650 0.651 0.302
0.350 0.349 0.698
0.000 0.000 0.000
```

size of the total moment: 0.0 μB per formula unit
symmetry: Immm, No. 71
calculated formation energy: -0.48 eV/atom